AsRu2W: optimized geometry, PBE.

The density comes out at 12.8 g cm⁻³. Its energy of formation from the pure elements is 0.203 eV/atom. The calculation puts the spin magnetization at 0.000 μB per formula unit.

It has space group R3m (No. 160, hexagonal axes), with a = 2.8443 Å, b = 2.8443 Å, c = 25.5590 Å, α = 90.00°, β = 90.00° and γ = 120.00°. The inequivalent atoms are As at (0.0000, 0.0000, 0.0000), Ru at (0.0000, 0.0000, 0.4966), Ru at (0.0000, 0.0000, 0.7422) and W at (0.0000, 0.0000, 0.2464).



MnCu4Pd: optimized geometry, PBE.

The energy above the most stable polymorph in this dataset is 0.087 eV/atom. The density comes out at 8.8 g cm⁻³. Its energy of formation from the pure elements is 0.053 eV/atom. The calculation puts the spin magnetization at 3.802 μB per formula unit.

It has space group P2/m (No. 10), with a = 2.625 Å, b = 4.169 Å, c = 7.171 Å, α = 90.00°, β = 90.61° and γ = 90.00°. The inequivalent atoms are Mn at (0.000, 0.000, 0.000), Cu at (0.397, 0.500, 0.164), Cu at (0.408, 0.000, 0.670) and Pd at (0.000, 0.500, 0.500).



LaCeErTm: optimized geometry, PBE.

The density comes out at 7.8 g cm⁻³. Its energy of formation from the pure elements is 0.142 eV/atom. The calculation puts the spin magnetization at 0.559 μB per formula unit.

It has space group F-43m (No. 216), with a = 8.048 Å, b = 8.048 Å, c = 8.048 Å, α = 90.00°, β = 90.00° and γ = 90.00°. The inequivalent atoms are La at (0.000, 0.000, 0.000), Ce at (0.000, 0.000, 0.500), Er at (0.250, 0.250, 0.750) and Tm at (0.250, 0.250, 0.250).



LaY6Er2Sc3: optimized geometry, PBE.

The density comes out at 5.2 g cm⁻³. Its energy of formation from the pure elements is 0.056 eV/atom. The calculation puts the spin magnetization at 0.000 μB per formula unit.

It has space group C2/m (No. 12), with a = 6.085 Å, b = 10.539 Å, c = 11.550 Å, α = 90.00°, β = 100.11° and γ = 90.00°. The inequivalent atoms are La at (0.000, 0.000, 0.000), Y at (0.246, 0.333, 0.739), Y at (0.248, 0.000, 0.739), Er at (0.000, 0.333, 0.000), Sc at (0.000, 0.167, 0.500) and Sc at (0.000, 0.500, 0.500).



HoAlPb2: optimized geometry, PBE.

The density comes out at 9.7 g cm⁻³. Its energy of formation from the pure elements is -0.198 eV/atom. The calculation puts the spin magnetization at 0.000 μB per formula unit.

It has space group P4/mmm (No. 123), with a = 4.732 Å, b = 4.732 Å, c = 4.623 Å, α = 90.00°, β = 90.00° and γ = 90.00°. The inequivalent atoms are Ho at (0.000, 0.000, 0.000), Al at (0.500, 0.500, 0.000) and Pb at (0.000, 0.500, 0.500).



Ho2AlTe: optimized geometry, PBE.

The energy above the most stable polymorph in this dataset is 0.181 eV/atom. The density comes out at 7.3 g cm⁻³. The calculation puts the spin magnetization at 0.000 μB per formula unit. The formation energy without anion corrections comes out at -0.704 eV/atom.

It has space group R3m (No. 160, hexagonal axes), with a = 3.9519 Å, b = 3.9519 Å, c = 24.4522 Å, α = 90.00°, β = 90.00° and γ = 120.00°. The inequivalent atoms are Ho at (0.0000, 0.0000, 0.0000), Ho at (0.0000, 0.0000, 0.1711), Al at (0.0000, 0.0000, 0.5848) and Te at (0.0000, 0.0000, 0.7530).



| no. | calculated volume (Å³ per atom) |
| --- | --- |
| 1 | 14.92 |
| 2 | 13.08 |
| 3 | 32.58 |
| 4 | 30.38 |
| 5 | 25.88 |
| 6 | 27.56 |